# 1
Entry from Alexandria via LeMat-Bulk: a relaxed structure of Mn5Re3Os12 (PBE).

Unit cell a=14.028 b=14.028 c=14.028 alpha=90.00 beta=90.00 gamma=90.00
Space group Ia-3d (No. 230)
Asymmetric unit:
1 Mn 0.000 0.000 0.000 (multiplicity 16)
2 Mn 0.000 0.250 0.375 (multiplicity 24)
3 Re 0.000 0.250 0.125 (multiplicity 24)
4 Os 0.018 0.072 0.653 (multiplicity 96)

## Properties
Crystal system ... cubic
DFT formation energy ... 21.58 eV/f.u.

---

# 2
Entry from Alexandria via LeMat-Bulk: a relaxed structure of Pa3In5O12 (PBE).

Unit cell a=13.445 b=13.445 c=13.445 alpha=90.00 beta=90.00 gamma=90.00
Space group Ia-3d (No. 230)
Asymmetric unit:
1 Pa 0.000 0.250 0.125 (multiplicity 24)
2 In 0.000 0.000 0.000 (multiplicity 16)
3 In 0.000 0.250 0.375 (multiplicity 24)
4 O 0.019 0.087 0.641 (multiplicity 96)

## Properties
Crystal system ... cubic
Formation energy (no corrections) ... -2.02 eV/atom

---

# 3
Entry from Alexandria via LeMat-Bulk: a relaxed structure of KLaIn2 (PBE).

Unit cell a=13.393 b=3.691 c=5.824 alpha=90.00 beta=114.32 gamma=90.00
Space group Cm (No. 8)
Asymmetric unit:
1 K 0.000 0.000 0.000 (multiplicity 2)
2 La 0.203 0.000 0.692 (multiplicity 2)
3 In 0.263 0.500 0.249 (multiplicity 2)
4 In 0.458 0.000 0.462 (multiplicity 2)

## Properties
Crystal system ... monoclinic
DFT formation energy ... -0.61 eV/f.u.